Entry 1:
An optimized crystal structure of CuTeI2F, computed with PBE.

The structure in POSCAR format:
```
CuTeI2F
1.0
5.886 0.000 0.000
0.000 5.886 0.000
0.000 0.000 4.212
Te Cu I F
1 1 2 1
Direct
0.000 0.000 0.500
0.500 0.500 0.500
0.500 0.000 0.000
0.000 0.500 0.000
0.000 0.000 0.000
```

## Properties
Uncorrected formation energy in kJ/mol of atoms: 23
Symmetry: P4/mmm
Relative energy among the computed polymorphs in eV per atom: 0.083


Entry 2:
An optimized crystal structure of CsSnAu, computed with PBE.

The structure in POSCAR format:
```
CsSnAu
1.0
6.978 0.275 1.094
1.636 4.539 -0.704
2.782 0.285 8.181
Sn Au Cs
2 2 2
Direct
0.394 0.846 0.269
0.473 0.306 0.467
0.286 0.899 0.628
0.931 0.077 0.380
0.782 0.649 0.711
0.085 0.501 0.052
```

## Properties
Formation energy from the elements in meV/atom: -244.5
Symmetry: P1


Entry 3:
An optimized crystal structure of Pr3Mg2Ge4, computed with PBE.

The structure in POSCAR format:
```
Pr3Mg2Ge4
1.0
-2.106 3.601 -1.087
-5.472 -1.503 -2.924
-6.963 0.239 5.734
Pr Ge Mg
3 4 2
Direct
0.616 0.462 0.305
0.000 0.000 0.000
0.384 0.538 0.695
0.717 0.628 0.937
0.919 0.760 0.401
0.283 0.372 0.063
0.081 0.240 0.599
0.312 0.024 0.352
0.688 0.976 0.648
```

## Properties
Formation energy from the elements in meV/atom: -647.1
Symmetry: C2/m


Entry 4:
An optimized crystal structure of Mg2PPb, computed with PBE.

The structure in POSCAR format:
```
Mg2PPb
1.0
6.003 0.021 0.000
3.220 5.067 0.000
-4.612 -2.544 2.881
Mg P Pb
2 1 1
Direct
0.000 0.000 0.000
0.250 0.750 0.500
0.500 0.500 0.000
0.750 0.250 0.500
```

## Properties
Formation energy from the elements in meV/atom: -8.6
Symmetry: I-4m2


Entry 5:
An optimized crystal structure of La3Al4Cu, computed with PBE.

The structure in POSCAR format:
```
La3Al4Cu
1.0
-1.507 5.774 0.990
-0.899 -1.191 5.576
10.878 2.449 2.278
Al La Cu
8 6 2
Direct
0.030 0.243 0.000
0.669 0.000 0.629
0.669 0.000 0.371
0.970 0.743 0.500
0.030 0.757 0.000
0.331 0.500 0.129
0.331 0.500 0.871
0.970 0.257 0.500
0.545 0.000 0.000
0.818 0.500 0.247
0.182 0.000 0.253
0.818 0.500 0.753
0.455 0.500 0.500
0.182 0.000 0.747
0.680 0.500 0.000
0.320 0.000 0.500
```

## Properties
Formation energy from the elements in meV/atom: -372.2
Symmetry: Pmmn


Entry 6:
An optimized crystal structure of TaCuSb2Ir, computed with PBE.

The structure in POSCAR format:
```
TaCuSb2Ir
1.0
5.228 0.000 0.000
0.000 4.695 0.000
0.000 0.000 5.228
Sb Ta Cu Ir
2 1 1 1
Direct
0.000 0.000 0.500
0.500 0.000 0.000
0.000 0.000 0.000
0.000 0.500 0.000
0.500 0.500 0.500
```

## Properties
Uncorrected formation energy in kJ/mol of atoms: 141
Symmetry: P4/mmm
Relative energy among the computed polymorphs in eV per atom: 0.346